(1)
First-principles (GGA-PBE) data for PmCuPd2 after structural relaxation, as listed in the Alexandria database.

Properties
ΔE to the lowest computed polymorph: 0.528 eV/atom
Formation energy from the elements: -70 meV/atom
Space-group type: Pmma (51)

a = 8.513 Å, b = 5.643 Å, c = 7.801 Å
α = 90.00°, β = 90.00°, γ = 90.00°
Element x y z (fractional)
Cu 0.500 0.250 0.241
Cu 0.000 0.250 0.285
Pd 0.737 0.250 0.062
Pd 0.000 0.500 0.000
Pd 0.263 0.250 0.062
Pd 0.263 0.750 0.938
Pd 0.000 0.000 0.000
Pd 0.500 0.500 0.500
Cu 0.000 0.750 0.715
Pm 0.500 0.250 0.822
Cu 0.500 0.750 0.759
Pd 0.500 0.000 0.500
Pm 0.500 0.750 0.178
Pd 0.737 0.750 0.938
Pm 0.000 0.250 0.681
Pm 0.000 0.750 0.319

(2)
First-principles (GGA-PBE) data for LiTe2Se after structural relaxation, as listed in the Alexandria database.

Properties
Space-group type: I-42d (122)

a = 5.947 Å, b = 5.947 Å, c = 8.636 Å
α = 69.86°, β = 69.86°, γ = 90.00°
Element x y z (fractional)
Se 0.750 0.250 0.500
Te 0.375 0.372 0.750
Te 0.875 0.878 0.750
Te 0.628 0.125 0.250
Te 0.122 0.625 0.250
Li 0.250 0.750 0.500
Se 0.000 0.000 0.000
Li 0.500 0.500 0.000

(3)
First-principles (GGA-PBE) data for RbAgAs2Br after structural relaxation, as listed in the Alexandria database.

Properties
ΔE to the lowest computed polymorph: 1.021 eV/atom
Space-group type: P4/mmm (123)

a = 6.897 Å, b = 6.897 Å, c = 6.194 Å
α = 90.00°, β = 90.00°, γ = 90.00°
Site moments in Bohr magnetons follow the coordinates.
Element x y z (fractional)
Rb 0.000 0.000 0.000  0.05
As 0.500 0.000 0.000  1.16
Ag 0.500 0.500 0.500  -0.15
As 0.000 0.500 0.000  1.16
Br 0.000 0.000 0.500  0.07

(4)
First-principles (GGA-PBE) data for AcLa3C8 after structural relaxation, as listed in the Alexandria database.

Properties
Formation energy from the elements: 123 meV/atom
Space-group type: Fmm2 (42)

a = 6.655 Å, b = 6.649 Å, c = 6.655 Å
α = 67.57°, β = 76.25°, γ = 112.42°
Element x y z (fractional)
C 0.586 0.466 0.415
La 0.251 0.500 0.249
C 0.075 0.000 0.583
C 0.120 0.534 0.880
C 0.924 0.342 0.076
Ac 0.000 0.000 0.000
La 0.751 0.500 0.749
C 0.417 0.000 0.925
C 0.880 0.000 0.586
C 0.582 0.658 0.418
La 0.500 0.000 0.500
C 0.414 0.000 0.120

(5)
First-principles (GGA-PBE) data for NaSm2BiO5 after structural relaxation, as listed in the Alexandria database.

Properties
Space-group type: I4/mcm (140)

a = 6.784 Å, b = 6.784 Å, c = 8.000 Å
α = 115.09°, β = 115.09°, γ = 90.00°
Element x y z (fractional)
Bi 0.750 0.250 0.500
O 0.268 0.768 0.237
O 0.768 0.969 0.237
Sm 0.678 0.178 0.000
O 0.000 0.000 0.000
O 0.031 0.531 0.763
Sm 0.178 0.322 0.000
O 0.469 0.268 0.237
O 0.500 0.500 0.000
Sm 0.822 0.678 0.000
Na 0.250 0.250 0.500
O 0.531 0.732 0.763
Sm 0.322 0.822 0.000
O 0.732 0.232 0.763
Bi 0.250 0.750 0.500
O 0.969 0.469 0.237
Na 0.750 0.750 0.500
O 0.232 0.031 0.763

(6)
First-principles (GGA-PBE) data for Dy6Y3TmSc2 after structural relaxation, as listed in the Alexandria database.

Properties
Formation energy from the elements: 40 meV/atom
Space-group type: C2/m (12)

a = 6.069 Å, b = 6.069 Å, c = 11.559 Å
α = 95.01°, β = 95.01°, γ = 119.95°
Element x y z (fractional)
Sc 0.333 0.667 0.000
Dy 0.583 0.918 0.757
Dy 0.918 0.583 0.757
Dy 0.254 0.254 0.757
Y 0.500 0.500 0.500
Y 0.167 0.833 0.500
Tm 0.000 0.000 0.000
Dy 0.082 0.417 0.243
Dy 0.417 0.082 0.243
Dy 0.746 0.746 0.243
Sc 0.667 0.333 0.000
Y 0.833 0.167 0.500

(7)
First-principles (GGA-PBE) data for K2SeCl after structural relaxation, as listed in the Alexandria database.

Properties
ΔE to the lowest computed polymorph: 0.161 eV/atom
Space-group type: Fm-3m (225)

a = 5.602 Å, b = 5.602 Å, c = 5.602 Å
α = 60.00°, β = 60.00°, γ = 60.00°
Site moments in Bohr magnetons follow the coordinates.
Element x y z (fractional)
K 0.750 0.750 0.750  0.00
K 0.250 0.250 0.250  0.00
Cl 0.000 0.000 0.000  0.11
Se 0.500 0.500 0.500  0.47

(8)
First-principles (GGA-PBE) data for FeAsIrBr2 after structural relaxation, as listed in the Alexandria database.

Properties
ΔE to the lowest computed polymorph: 0.347 eV/atom
Space-group type: P4/mmm (123)

a = 4.770 Å, b = 4.770 Å, c = 4.487 Å
α = 90.00°, β = 90.00°, γ = 90.00°
Site moments in Bohr magnetons follow the coordinates.
Element x y z (fractional)
As 0.000 0.000 0.500  -0.03
Br 0.000 0.500 0.000  0.08
Ir 0.500 0.500 0.500  1.06
Br 0.500 0.000 0.000  0.08
Fe 0.000 0.000 0.000  0.20

(9)
First-principles (GGA-PBE) data for CaTmNiRh after structural relaxation, as listed in the Alexandria database.

Properties
Formation energy from the elements: -424 meV/atom
Space-group type: F-43m (216)

a = 4.784 Å, b = 4.784 Å, c = 4.784 Å
α = 60.00°, β = 60.00°, γ = 60.00°
Element x y z (fractional)
Tm 0.000 0.000 0.000
Ca 0.500 0.500 0.500
Rh 0.750 0.750 0.750
Ni 0.250 0.250 0.250

(10)
First-principles (GGA-PBE) data for K2Rb3SnCl6 after structural relaxation, as listed in the Alexandria database.

Properties
Space-group type: C2/m (12)

a = 8.386 Å, b = 8.386 Å, c = 7.644 Å
α = 99.64°, β = 99.64°, γ = 123.62°
Site moments in Bohr magnetons follow the coordinates.
Element x y z (fractional)
Rb 0.838 0.162 0.500  0.00
Rb 0.500 0.500 0.500  0.01
Cl 0.426 0.075 0.239  0.02
Sn 0.000 0.000 0.000  0.36
K 0.331 0.669 0.000  0.00
Cl 0.574 0.925 0.761  0.02
Cl 0.752 0.752 0.213  0.01
Cl 0.925 0.574 0.761  0.02
Cl 0.248 0.248 0.787  0.01
Cl 0.075 0.426 0.239  0.02
Rb 0.162 0.838 0.500  0.00
K 0.669 0.331 0.000  0.00

Number 1: electronic total energy -4.878 eV/atom. Number 2: electronic total energy -3.037 eV/atom. Number 3: electronic total energy -1.895 eV/atom. Number 4: electronic total energy -7.600 eV/atom. Number 5: electronic total energy -6.610 eV/atom. Number 6: electronic total energy -5.305 eV/atom. Number 7: electronic total energy -2.991 eV/atom. Number 8: electronic total energy -3.892 eV/atom. Number 9: electronic total energy -5.326 eV/atom. Number 10: electronic total energy -3.290 eV/atom.